1.
# GGA-PBE CeSmInAu, optimized geometry
# Calculated volume ... 27.09 Å³/atom
# Calculated formation energy ... -0.47 eV/atom
data_CeSmInAu
_chemical_formula_sum 'Ce4 Sm4 In4 Au4'
_cell_length_a 7.568
_cell_length_b 7.568
_cell_length_c 7.568
_cell_angle_alpha 90.00
_cell_angle_beta 90.00
_cell_angle_gamma 90.00
_space_group_name_H-M_alt 'F -4 3 m'
_space_group_IT_number 216
_space_group_name_Hall 'F -4 2 3'
loop_
_atom_site_label
_atom_site_type_symbol
_atom_site_fract_x
_atom_site_fract_y
_atom_site_fract_z
Ce1 Ce 0.000 0.000 0.000
Sm1 Sm 0.000 0.000 0.500
In1 In 0.250 0.250 0.250
Au1 Au 0.250 0.250 0.750



2.
# GGA-PBE CeInSnAu, optimized geometry
# Calculated volume ... 24.74 Å³/atom
# Calculated formation energy ... -0.42 eV/atom
data_CeInSnAu
_chemical_formula_sum 'Ce4 In4 Sn4 Au4'
_cell_length_a 7.343
_cell_length_b 7.343
_cell_length_c 7.343
_cell_angle_alpha 90.00
_cell_angle_beta 90.00
_cell_angle_gamma 90.00
_space_group_name_H-M_alt 'F -4 3 m'
_space_group_IT_number 216
_space_group_name_Hall 'F -4 2 3'
loop_
_atom_site_label
_atom_site_type_symbol
_atom_site_fract_x
_atom_site_fract_y
_atom_site_fract_z
Ce1 Ce 0.000 0.000 0.000
In1 In 0.000 0.000 0.500
Sn1 Sn 0.250 0.250 0.250
Au1 Au 0.250 0.250 0.750



3.
# GGA-PBE TbCeInAu, optimized geometry
# Calculated volume ... 26.50 Å³/atom
# Calculated formation energy ... -0.49 eV/atom
data_TbCeInAu
_chemical_formula_sum 'Tb4 Ce4 In4 Au4'
_cell_length_a 7.512
_cell_length_b 7.512
_cell_length_c 7.512
_cell_angle_alpha 90.00
_cell_angle_beta 90.00
_cell_angle_gamma 90.00
_space_group_name_H-M_alt 'F -4 3 m'
_space_group_IT_number 216
_space_group_name_Hall 'F -4 2 3'
loop_
_atom_site_label
_atom_site_type_symbol
_atom_site_fract_x
_atom_site_fract_y
_atom_site_fract_z
Tb1 Tb 0.000 0.000 0.000
Ce1 Ce 0.000 0.000 0.500
In1 In 0.250 0.250 0.750
Au1 Au 0.250 0.250 0.250



4.
# GGA-PBE CeTlInAu, optimized geometry
# Calculated volume ... 24.91 Å³/atom
# Calculated formation energy ... -0.38 eV/atom
data_CeTlInAu
_chemical_formula_sum 'Ce4 Tl4 In4 Au4'
_cell_length_a 7.359
_cell_length_b 7.359
_cell_length_c 7.359
_cell_angle_alpha 90.00
_cell_angle_beta 90.00
_cell_angle_gamma 90.00
_space_group_name_H-M_alt 'F -4 3 m'
_space_group_IT_number 216
_space_group_name_Hall 'F -4 2 3'
loop_
_atom_site_label
_atom_site_type_symbol
_atom_site_fract_x
_atom_site_fract_y
_atom_site_fract_z
Ce1 Ce 0.000 0.000 0.000
Tl1 Tl 0.250 0.250 0.750
In1 In 0.000 0.000 0.500
Au1 Au 0.250 0.250 0.250



5.
# GGA-PBE CeTm2InAu4, optimized geometry
# Calculated volume ... 22.95 Å³/atom
# Calculated formation energy ... -0.69 eV/atom
data_CeTm2InAu4
_chemical_formula_sum 'Ce3 Tm6 In3 Au12'
_cell_length_a 5.0389
_cell_length_b 5.0389
_cell_length_c 25.0537
_cell_angle_alpha 90.00
_cell_angle_beta 90.00
_cell_angle_gamma 120.00
_space_group_name_H-M_alt 'R -3 m'
_space_group_IT_number 166
_space_group_name_Hall '-R 3 2"'
loop_
_atom_site_label
_atom_site_type_symbol
_atom_site_fract_x
_atom_site_fract_y
_atom_site_fract_z
Ce1 Ce 0.0000 0.0000 0.0000
Tm1 Tm 0.0000 0.0000 0.2407
In1 In 0.0000 0.0000 0.5000
Au1 Au 0.0000 0.0000 0.1201
Au2 Au 0.0000 0.0000 0.3671



6.
# GGA-PBE Ce3YIn4Au8, optimized geometry
# Calculated volume ... 22.32 Å³/atom
# Calculated formation energy ... -0.64 eV/atom
data_Ce3YIn4Au8
_chemical_formula_sum 'Ce9 Y3 In12 Au24'
_cell_length_a 5.0411
_cell_length_b 5.0411
_cell_length_c 48.6724
_cell_angle_alpha 90.00
_cell_angle_beta 90.00
_cell_angle_gamma 120.00
_space_group_name_H-M_alt 'R -3 m'
_space_group_IT_number 166
_space_group_name_Hall '-R 3 2"'
loop_
_atom_site_label
_atom_site_type_symbol
_atom_site_fract_x
_atom_site_fract_y
_atom_site_fract_z
Ce1 Ce 0.0000 0.0000 0.0000
Ce2 Ce 0.0000 0.0000 0.2494
Y1 Y 0.0000 0.0000 0.5000
In1 In 0.0000 0.0000 0.1248
In2 In 0.0000 0.0000 0.3756
Au1 Au 0.0000 0.0000 0.0629
Au2 Au 0.0000 0.0000 0.1853
Au3 Au 0.0000 0.0000 0.3126
Au4 Au 0.0000 0.0000 0.4383